The following is a SCAN calculation of a crystal of LaScTl2 relaxed with PBEsol, from Alexandria. Values from VASP.

Results
Formation energy from the elements ... -562 meV/atom
Total moment ... 0.3 μB per cell
Mass density ... 9.59 g/cm3

Geometry as Quantum ESPRESSO input:
```
&SYSTEM
  ibrav = 0, nat = 4, ntyp = 3
/
ATOMIC_SPECIES
La 138.91 La.upf
Sc 44.96 Sc.upf
Tl 204.38 Tl.upf
ATOMIC_POSITIONS crystal
La 0.0000 0.0000 0.0000
Sc 0.0000 0.0000 0.5000
Tl 0.5000 0.5000 0.2838
Tl 0.5000 0.5000 0.7162
CELL_PARAMETERS angstrom
3.3606 0.0000 0.0000
0.0000 4.2322 0.0000
0.0000 0.0000 7.2158
```